An optimized crystal structure of NaPuGa, computed with PBE.

Properties
total magnetic moment	0.00	μB/cell
DFT formation energy	61.2	meV per atom

Cell: 6.600 3.460 13.516 Å, 90.00 100.72 90.00°
Space group C2/m (No. 12)
Asymmetric unit:
Na (0.110, 0.000, 0.383)
Pu (0.144, 0.500, 0.954)
Ga (0.232, 0.500, 0.209)